No. 1
Density functional theory data (PBE-GGA) for a relaxed Ac2Y3Sn4 crystal.

Computed properties:
Fermi-level density of states ... 0.798 states/eV/atom
Space-group type ... P2_1/c, No. 14
Total energy ... -101.77 eV/cell

a = 8.510 Å, b = 8.520 Å, c = 8.300 Å
α = 90.00°, β = 110.13°, γ = 90.00°
Fractional coordinates of all 18 atoms:
Ac: 0.191 0.175 0.063
Ac: 0.191 0.325 0.563
Ac: 0.809 0.675 0.437
Ac: 0.809 0.825 0.937
Y: 0.250 0.665 0.247
Y: 0.250 0.835 0.747
Y: 0.500 0.000 0.500
Y: 0.500 0.500 0.000
Y: 0.750 0.165 0.253
Y: 0.750 0.335 0.753
Sn: 0.086 0.543 0.853
Sn: 0.086 0.957 0.353
Sn: 0.496 0.134 0.862
Sn: 0.496 0.366 0.362
Sn: 0.504 0.634 0.638
Sn: 0.504 0.866 0.138
Sn: 0.914 0.043 0.647
Sn: 0.914 0.457 0.147

No. 2
Density functional theory data (PBE-GGA) for a relaxed SrLa2YBe crystal.

Computed properties:
Fermi-level density of states ... 1.503 states/eV/atom
Space-group type ... P4/mmm, No. 123
Total energy ... -14.47 eV/cell

a = 5.824 Å, b = 5.824 Å, c = 5.692 Å
α = 90.00°, β = 90.00°, γ = 90.00°
Fractional coordinates of all 5 atoms:
Sr: 0.000 0.000 0.000
La: 0.000 0.500 0.000
La: 0.500 0.000 0.000
Y: 0.000 0.000 0.500
Be: 0.500 0.500 0.500

No. 3
Density functional theory data (PBE-GGA) for a relaxed W2SBr crystal.

Computed properties:
Fermi-level density of states ... 0.680 states/eV/atom
Space-group type ... I-42d, No. 122
Total energy ... -58.17 eV/cell

a = 8.481 Å, b = 8.481 Å, c = 8.481 Å
α = 150.46°, β = 150.46°, γ = 42.26°
Fractional coordinates of all 8 atoms:
W: 0.065 0.625 0.940
W: 0.375 0.315 0.440
W: 0.685 0.125 0.060
W: 0.875 0.935 0.560
S: 0.000 0.000 0.000
S: 0.750 0.250 0.500
Br: 0.250 0.750 0.500
Br: 0.500 0.500 0.000

No. 4
Density functional theory data (PBE-GGA) for a relaxed Cd2SbBr crystal.

Computed properties:
Fermi-level density of states ... 0.446 states/eV/atom
Space-group type ... P4/mmm, No. 123
Total energy ... -7.84 eV/cell

a = 3.654 Å, b = 3.654 Å, c = 7.887 Å
α = 90.00°, β = 90.00°, γ = 90.00°
Fractional coordinates of all 4 atoms:
Cd: 0.000 0.000 0.237
Cd: 0.000 0.000 0.763
Sb: 0.500 0.500 0.000
Br: 0.500 0.500 0.500

No. 5
Density functional theory data (PBE-GGA) for a relaxed PmZrInCu crystal.

Computed properties:
Fermi-level density of states ... 1.048 states/eV/atom
Space-group type ... F-43m, No. 216
Total energy ... -20.60 eV/cell

a = 5.072 Å, b = 5.072 Å, c = 5.072 Å
α = 60.00°, β = 60.00°, γ = 60.00°
Fractional coordinates of all 4 atoms:
Pm: 0.000 0.000 0.000
Zr: 0.500 0.500 0.500
In: 0.250 0.250 0.250
Cu: 0.750 0.750 0.750

No. 6
Density functional theory data (PBE-GGA) for a relaxed PuBN crystal.

Computed properties:
Fermi-level density of states ... 2.947 states/eV/atom
Space-group type ... I4mm, No. 107
Total energy ... -30.82 eV/cell

a = 4.059 Å, b = 4.059 Å, c = 4.059 Å
α = 125.78°, β = 125.78°, γ = 80.24°
Fractional coordinates of all 3 atoms:
Pu: 0.000 0.000 0.000
B: 0.405 0.405 0.000
N: 0.622 0.622 0.000

No. 7
Density functional theory data (PBE-GGA) for a relaxed RbCSN2 crystal.

Computed properties:
Fermi-level density of states ... 1.742 states/eV/atom
Space-group type ... P4/mmm, No. 123
Total energy ... -13.17 eV/cell

a = 5.632 Å, b = 5.632 Å, c = 6.676 Å
α = 90.00°, β = 90.00°, γ = 90.00°
Fractional coordinates of all 5 atoms:
Rb: 0.000 0.000 0.000
C: 0.500 0.500 0.500
S: 0.000 0.000 0.500
N: 0.000 0.500 0.000
N: 0.500 0.000 0.000

No. 8
Density functional theory data (PBE-GGA) for a relaxed La6As5S crystal.

Computed properties:
Fermi-level density of states ... 0.248 states/eV/atom
Space-group type ... C2/m, No. 12
Total energy ... -77.33 eV/cell

a = 7.523 Å, b = 7.523 Å, c = 7.528 Å
α = 99.59°, β = 99.59°, γ = 119.99°
Fractional coordinates of all 12 atoms:
La: 0.083 0.416 0.750
La: 0.249 0.249 0.250
La: 0.416 0.083 0.750
La: 0.584 0.917 0.250
La: 0.751 0.751 0.750
La: 0.917 0.584 0.250
As: 0.167 0.833 0.000
As: 0.333 0.667 0.500
As: 0.500 0.500 0.000
As: 0.667 0.333 0.500
As: 0.833 0.167 0.000
S: 0.000 0.000 0.500

No. 9
Density functional theory data (PBE-GGA) for a relaxed BaTl2Cd crystal.

Computed properties:
Fermi-level density of states ... 0.660 states/eV/atom
Space-group type ... Cmmm, No. 65
Total energy ... -8.25 eV/cell

a = 6.337 Å, b = 6.337 Å, c = 3.964 Å
α = 90.00°, β = 90.00°, γ = 119.11°
Fractional coordinates of all 4 atoms:
Ba: 0.000 0.000 0.000
Tl: 0.000 0.500 0.500
Tl: 0.500 0.000 0.500
Cd: 0.500 0.500 0.500

No. 10
Density functional theory data (PBE-GGA) for a relaxed ErAlPd2 crystal.

Computed properties:
Fermi-level density of states ... 0.590 states/eV/atom
Space-group type ... Pnma, No. 62
Total energy ... -89.66 eV/cell

a = 7.191 Å, b = 7.096 Å, c = 5.758 Å
α = 90.00°, β = 90.00°, γ = 90.00°
Fractional coordinates of all 16 atoms:
Er: 0.026 0.250 0.152
Er: 0.474 0.750 0.652
Er: 0.526 0.250 0.348
Er: 0.974 0.750 0.848
Al: 0.114 0.750 0.352
Al: 0.386 0.250 0.852
Al: 0.614 0.750 0.148
Al: 0.886 0.250 0.648
Pd: 0.186 0.050 0.585
Pd: 0.186 0.450 0.585
Pd: 0.314 0.550 0.085
Pd: 0.314 0.950 0.085
Pd: 0.686 0.050 0.915
Pd: 0.686 0.450 0.915
Pd: 0.814 0.550 0.415
Pd: 0.814 0.950 0.415

No. 11
Density functional theory data (PBE-GGA) for a relaxed Li2BeCd2 crystal.

Computed properties:
Fermi-level density of states ... 0.277 states/eV/atom
Space-group type ... P4/mbm, No. 127
Total energy ... -16.84 eV/cell

a = 7.039 Å, b = 7.039 Å, c = 3.298 Å
α = 90.00°, β = 90.00°, γ = 90.00°
Fractional coordinates of all 10 atoms:
Li: 0.137 0.363 0.000
Li: 0.363 0.863 0.000
Li: 0.637 0.137 0.000
Li: 0.863 0.637 0.000
Be: 0.000 0.000 0.000
Be: 0.500 0.500 0.000
Cd: 0.163 0.663 0.500
Cd: 0.337 0.163 0.500
Cd: 0.663 0.837 0.500
Cd: 0.837 0.337 0.500

No. 12
Density functional theory data (PBE-GGA) for a relaxed La2Sc2In crystal.

Computed properties:
Fermi-level density of states ... 2.166 states/eV/atom
Space-group type ... I4/mmm, No. 139
Total energy ... -23.19 eV/cell

a = 8.460 Å, b = 8.460 Å, c = 8.460 Å
α = 149.97°, β = 149.97°, γ = 42.99°
Fractional coordinates of all 5 atoms:
La: 0.250 0.750 0.500
La: 0.750 0.250 0.500
Sc: 0.084 0.084 0.000
Sc: 0.916 0.916 0.000
In: 0.500 0.500 0.000